1.
The following is a DFT calculation (GGA-PBE) of CeYSi3 after structural relaxation.

Computed properties:
Formation energy (no corrections) = -0.737 eV/atom

Cell and atoms, written as CIF:
```
data_CeYSi3
_chemical_formula_sum 'Ce2 Y2 Si6'
_symmetry_space_group_name_H-M 'P 1'
_symmetry_Int_Tables_number 1
_cell_length_a 12.455
_cell_length_b 12.455
_cell_length_c 3.959
_cell_angle_alpha 90.00
_cell_angle_beta 90.00
_cell_angle_gamma 160.46
loop_
_symmetry_equiv_pos_as_xyz
'x,y,z'
loop_
_atom_site_label
_atom_site_type_symbol
_atom_site_fract_x
_atom_site_fract_y
_atom_site_fract_z
Ce1 Ce 0.070 0.930 0.750
Ce2 Ce 0.930 0.070 0.250
Y1 Y 0.203 0.797 0.250
Y2 Y 0.797 0.203 0.750
Si1 Si 0.323 0.677 0.250
Si2 Si 0.381 0.619 0.750
Si3 Si 0.475 0.525 0.750
Si4 Si 0.525 0.475 0.250
Si5 Si 0.619 0.381 0.250
Si6 Si 0.677 0.323 0.750
```

=====

2.
The following is a DFT calculation (GGA-PBE) of La5PmPr2In after structural relaxation.

Computed properties:
E_form = -0.032 eV/atom

Cell and atoms, written as CIF:
```
data_La5PmPr2In
_chemical_formula_sum 'La10 Pm2 Pr4 In2'
_symmetry_space_group_name_H-M 'P 1'
_symmetry_Int_Tables_number 1
_cell_length_a 10.564
_cell_length_b 10.564
_cell_length_c 11.155
_cell_angle_alpha 90.00
_cell_angle_beta 90.00
_cell_angle_gamma 148.78
loop_
_symmetry_equiv_pos_as_xyz
'x,y,z'
loop_
_atom_site_label
_atom_site_type_symbol
_atom_site_fract_x
_atom_site_fract_y
_atom_site_fract_z
La1 La 0.000 0.000 0.000
La2 La 0.000 0.000 0.500
La3 La 0.121 0.879 0.751
La4 La 0.210 0.790 0.450
La5 La 0.212 0.788 0.054
La6 La 0.490 0.510 0.751
La7 La 0.510 0.490 0.251
La8 La 0.788 0.212 0.554
La9 La 0.790 0.210 0.950
La10 La 0.879 0.121 0.251
Pm1 Pm 0.309 0.691 0.752
Pm2 Pm 0.691 0.309 0.252
Pr1 Pr 0.382 0.618 0.456
Pr2 Pr 0.383 0.617 0.047
Pr3 Pr 0.617 0.383 0.547
Pr4 Pr 0.618 0.382 0.956
In1 In 0.093 0.907 0.249
In2 In 0.907 0.093 0.749
```

=====

| no. | electronic total energy (eV/atom) | DOS at the Fermi energy (states/eV per cell) |
| --- | --- | --- |
| 1 | -6.470 | 9.434 |
| 2 | -4.664 | 26.775 |